#a
A relaxed BaY3Nb crystal. Source: Alexandria via LeMat-Bulk, functional PBE.

abc: 5.666 5.666 5.666
angles: 90.00 90.00 90.00
Element x y z (fractional)
Y  0.000  0.500  0.000
Y  0.000  0.000  0.500
Y  0.500  0.000  0.000
Nb  0.000  0.000  0.000
Ba  0.500  0.500  0.500

Summary:
As for the size of the total moment: 0.000 μB per formula unit. The space-group type is Pm-3m (221).

#b
A relaxed BaY3Nb crystal. Source: Alexandria via LeMat-Bulk, functional PBE.

abc: 5.514 5.514 5.514
angles: 90.00 90.00 90.00
Element x y z (fractional)
Y  0.000  0.500  0.000
Y  0.000  0.000  0.500
Y  0.500  0.000  0.000
Nb  0.500  0.500  0.500
Ba  0.000  0.000  0.000

Summary:
As for the size of the total moment: 0.000 μB per formula unit. The space-group type is Pm-3m (221).

Which one sits at the bottom of the stability order? #b does.

#a
A relaxed BaY2Nb crystal. Source: Alexandria via LeMat-Bulk, functional PBE.

abc: 8.011 8.011 8.304
angles: 61.16 61.16 90.00
Element x y z (fractional)
Y  0.375  0.125  0.250
Y  0.375  0.625  0.250
Y  0.375  0.625  0.750
Y  0.875  0.625  0.750
Nb  0.500  0.500  0.000
Nb  0.250  0.750  0.500
Ba  0.000  0.000  0.000
Ba  0.750  0.250  0.500

Summary:
As for the size of the total moment: 0.000 μB per formula unit. The space-group type is I4_1/amd (141).

#b
A relaxed BaY2Nb crystal. Source: Alexandria via LeMat-Bulk, functional PBE.

abc: 5.588 5.588 5.588
angles: 60.00 60.00 60.00
Each line ends with the local moment (μB).
Element x y z (fractional)
Y  0.250  0.250  0.250  0.03
Y  0.750  0.750  0.750  0.03
Nb  0.000  0.000  0.000  1.53
Ba  0.500  0.500  0.500  -0.04

Summary:
As for the size of the total moment: 2.069 μB per formula unit. The space-group type is Fm-3m (225).

Which one sits at the bottom of the stability order? #a does.

#a
A relaxed BaYNb2 crystal. Source: Alexandria via LeMat-Bulk, functional PBE.

abc: 5.242 5.242 5.242
angles: 60.00 60.00 60.00
Element x y z (fractional)
Y  0.000  0.000  0.000
Nb  0.250  0.250  0.250
Nb  0.750  0.750  0.750
Ba  0.500  0.500  0.500

Summary:
As for the size of the total moment: 0.000 μB per formula unit. The space-group type is Fm-3m (225).

#b
A relaxed BaYNb2 crystal. Source: Alexandria via LeMat-Bulk, functional PBE.

abc: 8.451 8.451 6.700
angles: 50.90 50.90 90.00
Each line ends with the local moment (μB).
Element x y z (fractional)
Y  0.500  0.500  0.000  0.12
Y  0.250  0.750  0.500  0.12
Nb  0.618  0.125  0.250  0.32
Nb  0.132  0.625  0.250  0.32
Nb  0.375  0.382  0.750  0.31
Nb  0.875  0.868  0.750  0.33
Ba  0.000  0.000  0.000  0.02
Ba  0.750  0.250  0.500  0.02

Summary:
As for the size of the total moment: 0.938 μB per formula unit. The space-group type is I-42d (122).

Which one sits at the bottom of the stability order? #b does.